Material: NdPu2ScTe4
Method: DFT, GGA-PBE
State: relaxed

Unit cell a=7.579 b=4.369 c=7.645 alpha=90.00 beta=109.26 gamma=90.00
Space group P2/m (No. 10)
Inequivalent atoms, fractional coordinates:
Nd  0.000  0.000  0.000 x1
Pu  0.000  0.500  0.500 x1
Pu  0.500  0.000  0.500 x1
Sc  0.500  0.500  0.000 x1
Te  0.261  0.500  0.248 x2
Te  0.265  0.000  0.761 x2

## Properties
magnetic moment = 12.0 μB per cell
VASP energy = -7.715 eV/atom
V = 29.88 Å³ per atom



Material: Nd2PuScTe4
Method: DFT, GGA-PBE
State: relaxed

Unit cell a=7.597 b=4.364 c=7.685 alpha=90.00 beta=108.96 gamma=90.00
Space group P2/m (No. 10)
Inequivalent atoms, fractional coordinates:
Nd  0.000  0.000  0.000 x1
Nd  0.500  0.500  0.000 x1
Pu  0.000  0.500  0.500 x1
Sc  0.500  0.000  0.500 x1
Te  0.254  0.000  0.737 x2
Te  0.265  0.500  0.269 x2

## Properties
magnetic moment = 6.0 μB per cell
VASP energy = -6.604 eV/atom
V = 30.13 Å³ per atom



Material: Nd3Pu3ScTe8
Method: DFT, GGA-PBE
State: relaxed

Unit cell a=8.8665 b=8.8665 c=21.8331 alpha=90.00 beta=90.00 gamma=120.00
Space group R-3m (No. 166, hexagonal axes)
Inequivalent atoms, fractional coordinates:
Nd  0.0000  0.5000  0.0000 x9
Pu  0.0000  0.5000  0.5000 x9
Sc  0.0000  0.0000  0.5000 x3
Te  0.0000  0.0000  0.2479 x6
Te  0.0089  0.5044  0.2463 x18

## Properties
magnetic moment = 53.1 μB per cell
VASP energy = -7.189 eV/atom
V = 33.03 Å³ per atom



Material: Nd3PuSe6
Method: DFT, GGA-PBE
State: relaxed

Unit cell a=11.863 b=4.237 c=12.119 alpha=90.00 beta=108.56 gamma=90.00
Space group P2_1/m (No. 11)
Inequivalent atoms, fractional coordinates:
Nd  0.075  0.250  0.168 x2
Nd  0.181  0.750  0.503 x2
Nd  0.341  0.250  0.920 x2
Pu  0.457  0.250  0.315 x2
Se  0.019  0.250  0.384 x2
Se  0.099  0.250  0.931 x2
Se  0.253  0.750  0.281 x2
Se  0.312  0.750  0.750 x2
Se  0.390  0.250  0.539 x2
Se  0.417  0.750  0.103 x2

## Properties
magnetic moment = 10.0 μB per cell
relative energy among the computed polymorphs = 0.0 meV/atom
V = 28.88 Å³ per atom